Sn2HgPb | PBE-GGA | optimized geometry

Calculated values
total magnetic moment: 0.0 μB/f.u.
N(E_F): 0.30 states/eV per atom
crystal system: monoclinic
relative energy among the computed polymorphs: 0.0000 eV per atom

Cell lengths 4.6620, 4.6650, 10.8090 Å; angles 90.00, 101.40, 90.00 degrees
Space group P2_1/m (No. 11)
Unique sites:
Sn (0.0572, 0.2500, 0.1189)
Sn (0.4403, 0.2500, 0.8825)
Hg (0.3423, 0.7500, 0.6531)
Pb (0.1664, 0.7500, 0.3590)

***

Sn3HgPb | PBE-GGA | optimized geometry

Calculated values
total magnetic moment: 0.0 μB/f.u.
N(E_F): 0.33 states/eV per atom
crystal system: monoclinic
relative energy among the computed polymorphs: 0.0000 eV per atom

Cell lengths 8.6374, 3.5483, 9.1468 Å; angles 90.00, 95.07, 90.00 degrees
Space group P2_1/m (No. 11)
Unique sites:
Sn (0.0208, 0.2500, 0.1557)
Sn (0.1461, 0.7500, 0.4445)
Sn (0.4471, 0.2500, 0.3571)
Hg (0.2672, 0.2500, 0.7385)
Pb (0.3305, 0.7500, 0.0531)

***

Sn2Hg4Pb | PBE-GGA | optimized geometry

Calculated values
total magnetic moment: 0.0 μB/f.u.
uncorrected energy: -1.7497 eV/atom
N(E_F): 0.46 states/eV per atom
crystal system: triclinic

Cell lengths 4.5366, 5.4658, 9.4653 Å; angles 83.79, 90.00, 65.56 degrees
Space group P-1 (No. 2)
Unique sites:
Sn (0.1594, 0.1816, 0.4731)
Hg (0.0925, 0.3159, 0.7726)
Hg (0.2091, 0.0819, 0.1518)
Pb (0.5000, 0.5000, 0.0000)